Entry one
# UTcPt | OQMD | PBE-GGA | optimized geometry
data_UTcPt
_chemical_formula_sum 'U4 Tc4 Pt4'
_symmetry_space_group_name_H-M 'F -4 3 m'
_symmetry_Int_Tables_number 216
_symmetry_space_group_name_Hall 'F -4 2 3'
_cell_length_a 6.342
_cell_length_b 6.342
_cell_length_c 6.342
_cell_angle_alpha 90.00
_cell_angle_beta 90.00
_cell_angle_gamma 90.00
loop_
_atom_site_label
_atom_site_fract_x
_atom_site_fract_y
_atom_site_fract_z
_atom_site_occupancy
U1 0.000 0.000 0.000 1
Tc1 0.000 0.000 0.500 1
Pt1 0.250 0.250 0.750 1
# total moment: 1.417 Bohr magnetons per cell


Entry two
# UTcPt | OQMD | PBE-GGA | optimized geometry
data_UTcPt
_chemical_formula_sum 'U4 Tc4 Pt4'
_symmetry_space_group_name_H-M 'F -4 3 m'
_symmetry_Int_Tables_number 216
_symmetry_space_group_name_Hall 'F -4 2 3'
_cell_length_a 6.332
_cell_length_b 6.332
_cell_length_c 6.332
_cell_angle_alpha 90.00
_cell_angle_beta 90.00
_cell_angle_gamma 90.00
loop_
_atom_site_label
_atom_site_fract_x
_atom_site_fract_y
_atom_site_fract_z
_atom_site_occupancy
U1 0.000 0.000 0.000 1
Tc1 0.250 0.250 0.750 1
Pt1 0.250 0.250 0.250 1
# total moment: 2.150 Bohr magnetons per cell


entry two has the most favorable energy; the next structure is 0.093 eV/atom above.


Entry one
# TePt17 | OQMD | PBE-GGA | optimized geometry
data_TePt17
_chemical_formula_sum 'Te2 Pt34'
_symmetry_space_group_name_H-M 'P 3'
_symmetry_Int_Tables_number 143
_cell_length_a 5.5018
_cell_length_b 5.5018
_cell_length_c 30.5098
_cell_angle_alpha 90.00
_cell_angle_beta 90.00
_cell_angle_gamma 120.00
loop_
_symmetry_equiv_pos_as_xyz
'x,y,z'
'-y,x-y,z'
'-x+y,-x,z'
loop_
_atom_site_label
_atom_site_fract_x
_atom_site_fract_y
_atom_site_fract_z
_atom_site_occupancy
Te1 0.0000 0.0000 0.0000 1
Te2 0.3333 0.6667 0.3171 1
Pt1 0.0000 0.0000 0.5052 1
Pt2 0.0000 0.0000 0.7345 1
Pt3 0.0000 0.5005 0.7343 1
Pt4 0.0004 0.5006 0.5046 1
Pt5 0.1614 0.3324 0.8880 1
Pt6 0.1626 0.8282 0.4278 1
Pt7 0.1666 0.3332 0.6578 1
Pt8 0.3333 0.1663 0.5812 1
Pt9 0.3330 0.1662 0.8111 1
Pt10 0.3333 0.6667 0.5811 1
Pt11 0.3333 0.6667 0.8105 1
Pt12 0.3338 0.1017 0.3505 1
Pt13 0.4310 0.4303 0.9655 1
Pt14 0.6667 0.3333 0.4276 1
Pt15 0.6667 0.3333 0.6578 1
Pt16 0.6667 0.3333 0.8881 1
# total moment: 0.007 Bohr magnetons per cell


Entry two
# TePt17 | OQMD | PBE-GGA | optimized geometry
data_TePt17
_chemical_formula_sum 'Te2 Pt34'
_symmetry_space_group_name_H-M 'P 1 21/m 1'
_symmetry_Int_Tables_number 11
_cell_length_a 4.747
_cell_length_b 5.521
_cell_length_c 30.904
_cell_angle_alpha 90.00
_cell_angle_beta 90.50
_cell_angle_gamma 90.00
loop_
_symmetry_equiv_pos_as_xyz
'x,y,z'
'-x,-y,-z'
'-x,y+1/2,-z'
'x,-y+1/2,z'
loop_
_atom_site_label
_atom_site_fract_x
_atom_site_fract_y
_atom_site_fract_z
_atom_site_occupancy
Te1 0.160 0.250 0.168 1
Pt1 0.000 0.000 0.500 1
Pt2 0.004 0.502 0.727 1
Pt3 0.163 0.250 0.424 1
Pt4 0.165 0.750 0.197 1
Pt5 0.165 0.750 0.424 1
Pt6 0.171 0.750 0.651 1
Pt7 0.174 0.250 0.651 1
Pt8 0.328 0.001 0.348 1
Pt9 0.334 0.000 0.803 1
Pt10 0.337 0.000 0.576 1
Pt11 0.494 0.250 0.272 1
Pt12 0.494 0.750 0.273 1
Pt13 0.500 0.250 0.500 1
# total moment: 0.034 Bohr magnetons per cell


entry one has the most favorable energy; the next structure is 0.030 eV/atom above.


Entry one
# Tm5Te3Pt | OQMD | PBE-GGA | optimized geometry
data_Tm5Te3Pt
_chemical_formula_sum 'Tm5 Te3 Pt1'
_symmetry_space_group_name_H-M 'P -6 2 m'
_symmetry_Int_Tables_number 189
_symmetry_space_group_name_Hall 'P -6 -2'
_cell_length_a 8.2879
_cell_length_b 8.2879
_cell_length_c 4.0514
_cell_angle_alpha 90.00
_cell_angle_beta 90.00
_cell_angle_gamma 120.00
loop_
_atom_site_label
_atom_site_fract_x
_atom_site_fract_y
_atom_site_fract_z
_atom_site_occupancy
Tm1 0.0000 0.6680 0.0000 1
Tm2 0.3333 0.6667 0.5000 1
Te1 0.0000 0.2807 0.5000 1
Pt1 0.0000 0.0000 0.0000 1
# total moment: 0.034 Bohr magnetons per cell


Entry two
# Tm5Te3Pt | OQMD | PBE-GGA | optimized geometry
data_Tm5Te3Pt
_chemical_formula_sum 'Tm5 Te3 Pt1'
_symmetry_space_group_name_H-M 'P -6 2 m'
_symmetry_Int_Tables_number 189
_symmetry_space_group_name_Hall 'P -6 -2'
_cell_length_a 8.6359
_cell_length_b 8.6359
_cell_length_c 3.8183
_cell_angle_alpha 90.00
_cell_angle_beta 90.00
_cell_angle_gamma 120.00
loop_
_atom_site_label
_atom_site_fract_x
_atom_site_fract_y
_atom_site_fract_z
_atom_site_occupancy
Tm1 0.0000 0.2334 0.0000 1
Tm2 0.3333 0.6667 0.0000 1
Te1 0.0000 0.5505 0.5000 1
Pt1 0.0000 0.0000 0.5000 1
# total moment: 0.034 Bohr magnetons per cell


entry two has the most favorable energy; the next structure is 0.178 eV/atom above.


Entry one
# UTePt | OQMD | PBE-GGA | optimized geometry
data_UTePt
_chemical_formula_sum 'U4 Te4 Pt4'
_symmetry_space_group_name_H-M 'F -4 3 m'
_symmetry_Int_Tables_number 216
_symmetry_space_group_name_Hall 'F -4 2 3'
_cell_length_a 6.900
_cell_length_b 6.900
_cell_length_c 6.900
_cell_angle_alpha 90.00
_cell_angle_beta 90.00
_cell_angle_gamma 90.00
loop_
_atom_site_label
_atom_site_fract_x
_atom_site_fract_y
_atom_site_fract_z
_atom_site_occupancy
U1 0.000 0.000 0.000 1
Te1 0.250 0.250 0.750 1
Pt1 0.250 0.250 0.250 1
# total moment: 7.989 Bohr magnetons per cell


Entry two
# UTePt | OQMD | PBE-GGA | optimized geometry
data_UTePt
_chemical_formula_sum 'U4 Te4 Pt4'
_symmetry_space_group_name_H-M 'F -4 3 m'
_symmetry_Int_Tables_number 216
_symmetry_space_group_name_Hall 'F -4 2 3'
_cell_length_a 6.699
_cell_length_b 6.699
_cell_length_c 6.699
_cell_angle_alpha 90.00
_cell_angle_beta 90.00
_cell_angle_gamma 90.00
loop_
_atom_site_label
_atom_site_fract_x
_atom_site_fract_y
_atom_site_fract_z
_atom_site_occupancy
U1 0.000 0.000 0.000 1
Te1 0.000 0.000 0.500 1
Pt1 0.250 0.250 0.750 1
# total moment: 7.968 Bohr magnetons per cell


entry two has the most favorable energy; the next structure is 0.145 eV/atom above.


Entry one
# ThPtW | OQMD | PBE-GGA | optimized geometry
data_ThPtW
_chemical_formula_sum 'Th4 Pt4 W4'
_symmetry_space_group_name_H-M 'F -4 3 m'
_symmetry_Int_Tables_number 216
_symmetry_space_group_name_Hall 'F -4 2 3'
_cell_length_a 6.639
_cell_length_b 6.639
_cell_length_c 6.639
_cell_angle_alpha 90.00
_cell_angle_beta 90.00
_cell_angle_gamma 90.00
loop_
_atom_site_label
_atom_site_fract_x
_atom_site_fract_y
_atom_site_fract_z
_atom_site_occupancy
Th1 0.000 0.000 0.000 1
Pt1 0.250 0.250 0.250 1
W1 0.000 0.000 0.500 1
# total moment: 9.708 Bohr magnetons per cell


Entry two
# ThPtW | OQMD | PBE-GGA | optimized geometry
data_ThPtW
_chemical_formula_sum 'Th4 Pt4 W4'
_symmetry_space_group_name_H-M 'F -4 3 m'
_symmetry_Int_Tables_number 216
_symmetry_space_group_name_Hall 'F -4 2 3'
_cell_length_a 6.675
_cell_length_b 6.675
_cell_length_c 6.675
_cell_angle_alpha 90.00
_cell_angle_beta 90.00
_cell_angle_gamma 90.00
loop_
_atom_site_label
_atom_site_fract_x
_atom_site_fract_y
_atom_site_fract_z
_atom_site_occupancy
Th1 0.000 0.000 0.000 1
Pt1 0.250 0.250 0.750 1
W1 0.250 0.250 0.250 1
# total moment: 8.603 Bohr magnetons per cell


entry one has the most favorable energy; the next structure is 0.511 eV/atom above.


Entry one
# TlPt17 | OQMD | PBE-GGA | optimized geometry
data_TlPt17
_chemical_formula_sum 'Tl2 Pt34'
_symmetry_space_group_name_H-M 'P 1 21/m 1'
_symmetry_Int_Tables_number 11
_cell_length_a 4.809
_cell_length_b 5.558
_cell_length_c 33.875
_cell_angle_alpha 90.00
_cell_angle_beta 90.16
_cell_angle_gamma 90.00
loop_
_symmetry_equiv_pos_as_xyz
'x,y,z'
'-x,-y,-z'
'-x,y+1/2,-z'
'x,-y+1/2,z'
loop_
_atom_site_label
_atom_site_fract_x
_atom_site_fract_y
_atom_site_fract_z
_atom_site_occupancy
Tl1 0.166 0.250 0.296 1
Pt1 0.000 0.000 0.000 1
Pt2 0.001 0.503 0.795 1
Pt3 0.165 0.750 0.864 1
Pt4 0.167 0.250 0.068 1
Pt5 0.167 0.250 0.865 1
Pt6 0.168 0.750 0.068 1
Pt7 0.169 0.750 0.273 1
Pt8 0.333 0.000 0.932 1
Pt9 0.333 0.001 0.137 1
Pt10 0.333 0.005 0.728 1
Pt11 0.494 0.250 0.206 1
Pt12 0.500 0.250 0.000 1
Pt13 0.500 0.250 0.796 1
# total moment: 0.054 Bohr magnetons per cell


Entry two
# TlPt17 | OQMD | PBE-GGA | optimized geometry
data_TlPt17
_chemical_formula_sum 'Tl2 Pt34'
_symmetry_space_group_name_H-M 'P -3 m 1'
_symmetry_Int_Tables_number 164
_symmetry_space_group_name_Hall '-P 3 2"'
_cell_length_a 5.5497
_cell_length_b 5.5497
_cell_length_c 32.7477
_cell_angle_alpha 90.00
_cell_angle_beta 90.00
_cell_angle_gamma 120.00
loop_
_atom_site_label
_atom_site_fract_x
_atom_site_fract_y
_atom_site_fract_z
_atom_site_occupancy
Tl1 0.3333 0.6667 0.3097 1
Pt1 0.0000 0.0000 0.0000 1
Pt2 0.0000 0.0000 0.2126 1
Pt3 0.0000 0.5000 0.0000 1
Pt4 0.0026 0.5013 0.2131 1
Pt5 0.1663 0.3325 0.7177 1
Pt6 0.1665 0.3330 0.9292 1
Pt7 0.1671 0.3341 0.1420 1
Pt8 0.3333 0.6667 0.0707 1
Pt9 0.3333 0.6667 0.8592 1
# total moment: 0.017 Bohr magnetons per cell


entry two has the most favorable energy; the next structure is 0.006 eV/atom above.